Re3BSe | SCAN | single point on PBEsol structure

## Properties
Symmetry   Pm-3m (221)
ρ   15.13 g cm⁻³
Relative energy among the computed polymorphs   0 meV/atom
Size of the total moment   0.00 μB per formula unit

a = 4.144 Å, b = 4.144 Å, c = 4.144 Å
α = 90.00°, β = 90.00°, γ = 90.00°
Atoms (fractional coordinates):
Re: 0.000 0.500 0.000
Re: 0.000 0.000 0.500
Re: 0.500 0.000 0.000
B: 0.000 0.000 0.000
Se: 0.500 0.500 0.500